This record from the Alexandria database describes an optimized crystal structure of CeHo2Ni. The functional is PBE.

```
4
Lattice="3.3950 0.0000 0.0000 0.0000 3.3950 0.0000 0.0000 0.0000 8.6523" Properties=species:S:1:pos:R:3 pbc="T T T"
Ce 0.0000 0.0000 0.0000
Ho 1.6975 1.6975 2.7144
Ho 1.6975 1.6975 5.9380
Ni 0.0000 0.0000 4.3262
```

Summary:
**Distance to the lowest polymorph of the same formula**: 43 meV per atom
**ΔH_f (0 K)**: -0.60 eV per formula unit
**Fermi-level density of states**: 1.578 states/eV per atom
**SG**: P4/mmm



This record from the Alexandria database describes an optimized crystal structure of CeHoNi4. The functional is PBE.

```
6
Lattice="0.0000 3.5863 3.5863 3.5863 0.0000 3.5863 3.5863 3.5863 0.0000" Properties=species:S:1:pos:R:3 pbc="T T T"
Ce 0.0000 0.0000 0.0000
Ho 1.7931 1.7931 1.7931
Ni 4.4809 2.6917 2.6917
Ni 2.6917 4.4809 2.6917
Ni 2.6917 2.6917 4.4809
Ni 4.4809 4.4809 4.4809
```

Summary:
**ΔH_f (0 K)**: -2.45 eV per formula unit
**Fermi-level density of states**: 0.847 states/eV per atom
**SG**: F-43m



This record from the Alexandria database describes an optimized crystal structure of CeHo2Ni9. The functional is PBE.

```
12
Lattice="2.4770 1.4301 8.1336 -2.4770 1.4301 8.1336 0.0000 -2.8602 8.1336" Properties=species:S:1:pos:R:3 pbc="T T T"
Ce 0.0000 0.0000 0.0000
Ho 0.0000 0.0000 3.4045
Ho 0.0000 0.0000 20.9962
Ni -1.2434 -0.7179 10.1614
Ni 0.0000 0.0000 8.1313
Ni 0.0000 -1.4358 14.2393
Ni -1.2434 0.7179 14.2393
Ni 0.0000 0.0000 12.2003
Ni 1.2434 -0.7179 10.1614
Ni 0.0000 1.4358 10.1614
Ni 0.0000 0.0000 16.2694
Ni 1.2434 0.7179 14.2393
```

Summary:
**ΔH_f (0 K)**: -5.07 eV per formula unit
**Fermi-level density of states**: 1.201 states/eV per atom
**SG**: R-3m



This record from the Alexandria database describes an optimized crystal structure of Ce2HoNi. The functional is PBE.

```
4
Lattice="3.5506 0.0000 0.0000 0.0000 3.5506 0.0000 0.0000 0.0000 7.9870" Properties=species:S:1:pos:R:3 pbc="T T T"
Ce 0.0000 0.0000 1.4760
Ce 0.0000 0.0000 6.5110
Ho 1.7753 1.7753 3.9935
Ni 1.7753 1.7753 0.0000
```

Summary:
**Distance to the lowest polymorph of the same formula**: 0 meV per atom
**ΔH_f (0 K)**: -0.24 eV per formula unit
**Fermi-level density of states**: 2.461 states/eV per atom
**SG**: P4/mmm



This record from the Alexandria database describes an optimized crystal structure of CeHo2Ni9. The functional is PBE.

```
24
Lattice="4.9579 0.0000 0.0000 -2.4789 4.2936 0.0000 0.0000 0.0000 16.2376" Properties=species:S:1:pos:R:3 pbc="T T T"
Ce 0.0000 2.8624 4.0594
Ce 2.4789 1.4312 12.1782
Ho 0.0000 2.8624 0.6633
Ho 0.0000 2.8624 7.4555
Ho 2.4789 1.4312 8.7821
Ho 2.4789 1.4312 15.5743
Ni 0.0000 0.0000 0.0000
Ni 0.0000 0.0000 4.0594
Ni 0.0000 0.0000 8.1188
Ni 0.0000 0.0000 12.1782
Ni 0.0000 1.4359 10.1554
Ni 0.0000 1.4359 14.2010
Ni -1.2354 3.5757 10.1554
Ni -1.2354 3.5757 14.2010
Ni 0.0000 2.8624 12.1782
Ni 1.2436 0.7180 2.0366
Ni 1.2436 0.7180 6.0822
Ni 1.2354 3.5757 10.1554
Ni 1.2354 3.5757 14.2010
Ni 2.4789 1.4312 4.0594
Ni 3.7143 0.7180 2.0366
Ni 3.7143 0.7180 6.0822
Ni 2.4789 2.8577 2.0366
Ni 2.4789 2.8577 6.0822
```

Summary:
**ΔH_f (0 K)**: -5.07 eV per formula unit
**Fermi-level density of states**: 1.055 states/eV per atom
**SG**: P6_3/mmc



This record from the Alexandria database describes an optimized crystal structure of Ce2HoNi. The functional is PBE.

```
4
Lattice="1.8063 1.0428 9.2808 -1.8063 1.0428 9.2808 0.0000 -2.0857 9.2808" Properties=species:S:1:pos:R:3 pbc="T T T"
Ce 0.0000 0.0000 6.4342
Ce 0.0000 0.0000 21.4082
Ho 0.0000 0.0000 0.0000
Ni 0.0000 0.0000 13.9212
```

Summary:
**Distance to the lowest polymorph of the same formula**: 45 meV per atom
**ΔH_f (0 K)**: -0.06 eV per formula unit
**Fermi-level density of states**: 2.186 states/eV per atom
**SG**: R-3m



This record from the Alexandria database describes an optimized crystal structure of Ce2Ho5Ni4. The functional is PBE.

```
11
Lattice="11.7508 -1.7273 0.0000 11.7508 1.7273 0.0000 -0.1831 0.0000 6.6538" Properties=species:S:1:pos:R:3 pbc="T T T"
Ce 2.0845 0.0000 0.9794
Ce 21.2340 0.0000 5.6745
Ho 3.0060 0.0000 4.4344
Ho 5.4303 0.0000 1.5578
Ho 11.6593 0.0000 3.3269
Ho 17.8882 0.0000 5.0960
Ho 20.3125 0.0000 2.2194
Ni 0.4078 0.0000 5.4378
Ni 7.7625 0.0000 0.1615
Ni 15.5560 0.0000 6.4923
Ni 22.9107 0.0000 1.2160
```

Summary:
**ΔH_f (0 K)**: -0.57 eV per formula unit
**Fermi-level density of states**: 1.622 states/eV per atom
**SG**: C2/m



This record from the Alexandria database describes an optimized crystal structure of CeHoNiOs. The functional is PBE.

```
4
Lattice="0.0000 3.4159 3.4159 3.4159 0.0000 3.4159 3.4159 3.4159 0.0000" Properties=species:S:1:pos:R:3 pbc="T T T"
Ce 0.0000 0.0000 0.0000
Ho 3.4159 3.4159 3.4159
Ni 5.1238 5.1238 5.1238
Os 1.7079 1.7079 1.7079
```

Summary:
**ΔH_f (0 K)**: -1.06 eV per formula unit
**Fermi-level density of states**: 1.087 states/eV per atom
**SG**: F-43m



This record from the Alexandria database describes an optimized crystal structure of CeHoNiPd. The functional is PBE.

```
4
Lattice="0.0000 3.4798 3.4798 3.4798 0.0000 3.4798 3.4798 3.4798 0.0000" Properties=species:S:1:pos:R:3 pbc="T T T"
Ce 0.0000 0.0000 0.0000
Ho 3.4798 3.4798 3.4798
Ni 1.7399 1.7399 1.7399
Pd 5.2197 5.2197 5.2197
```

Summary:
**ΔH_f (0 K)**: -2.02 eV per formula unit
**Fermi-level density of states**: 1.608 states/eV per atom
**SG**: F-43m



This record from the Alexandria database describes an optimized crystal structure of CeHoNiPt. The functional is PBE.

```
4
Lattice="4.3280 0.0000 0.0000 0.0000 1.8561 5.3438 0.0000 -1.8561 5.3438" Properties=species:S:1:pos:R:3 pbc="T T T"
Ce 0.0000 0.0000 0.0000
Ho 2.1640 0.0000 2.9437
Ni 2.1640 0.0000 5.8274
Pt 0.0000 0.0000 7.6820
```

Summary:
**Distance to the lowest polymorph of the same formula**: 0 meV per atom
**ΔH_f (0 K)**: -3.22 eV per formula unit
**Fermi-level density of states**: 1.432 states/eV per atom
**SG**: Amm2



This record from the Alexandria database describes an optimized crystal structure of CeHoNiPt. The functional is PBE.

```
4
Lattice="0.0000 3.4753 3.4753 3.4753 0.0000 3.4753 3.4753 3.4753 0.0000" Properties=species:S:1:pos:R:3 pbc="T T T"
Ce 0.0000 0.0000 0.0000
Ho 3.4753 3.4753 3.4753
Ni 1.7377 1.7377 1.7377
Pt 5.2130 5.2130 5.2130
```

Summary:
**Distance to the lowest polymorph of the same formula**: 107 meV per atom
**ΔH_f (0 K)**: -2.79 eV per formula unit
**Fermi-level density of states**: 1.517 states/eV per atom
**SG**: F-43m



This record from the Alexandria database describes an optimized crystal structure of CeHoNiRu. The functional is PBE.

```
4
Lattice="0.0000 3.4114 3.4114 3.4114 0.0000 3.4114 3.4114 3.4114 0.0000" Properties=species:S:1:pos:R:3 pbc="T T T"
Ce 0.0000 0.0000 0.0000
Ho 3.4114 3.4114 3.4114
Ni 1.7057 1.7057 1.7057
Ru 5.1170 5.1170 5.1170
```

Summary:
**ΔH_f (0 K)**: -1.38 eV per formula unit
**Fermi-level density of states**: 1.046 states/eV per atom
**SG**: F-43m